1.
Below is a PBEsol-optimized structure of Be3Cu5, with properties calculated at the meta-GGA SCAN level.

Output
Its crystal system is tetragonal. The value obtained for the volume is 78.6 Å³/f.u. As for the formation energy: -0.16 eV/atom. The spin magnetization is 0.00 Bohr magnetons per cell.

Unit cell a=2.6792 b=2.6792 c=10.9475 alpha=90.00 beta=90.00 gamma=90.00
Space group P4/mmm (No. 123)
Inequivalent atoms, fractional coordinates:
Be 0.0000 0.0000 0.0000
Be 0.5000 0.5000 0.3808
Cu 0.0000 0.0000 0.2641
Cu 0.0000 0.0000 0.5000
Cu 0.5000 0.5000 0.1168



2.
Below is a PBEsol-optimized structure of BeCu, with properties calculated at the meta-GGA SCAN level.

Output
Its crystal system is monoclinic. The value obtained for the volume is 19.1 Å³/f.u. As for the formation energy: -0.14 eV/atom. The spin magnetization is 0.00 Bohr magnetons per cell.

Unit cell a=2.4341 b=3.6412 c=4.4720 alpha=90.00 beta=105.93 gamma=90.00
Space group P2_1/m (No. 11)
Inequivalent atoms, fractional coordinates:
Be 0.0687 0.2500 0.1386
Cu 0.3339 0.2500 0.6704



3.
Below is a PBEsol-optimized structure of BeCu, with properties calculated at the meta-GGA SCAN level.

Output
Its crystal system is hexagonal. The value obtained for the volume is 23.4 Å³/f.u. As for the formation energy: 0.21 eV/atom. The spin magnetization is 0.00 Bohr magnetons per cell.

Unit cell a=4.7210 b=4.7210 c=3.6439 alpha=90.00 beta=90.00 gamma=120.00
Space group P6/mmm (No. 191)
Inequivalent atoms, fractional coordinates:
Be 0.0000 0.0000 0.0000
Be 0.3333 0.6667 0.5000
Cu 0.0000 0.5000 0.0000



4.
Below is a PBEsol-optimized structure of Be2Cu, with properties calculated at the meta-GGA SCAN level.

Output
Its crystal system is orthorhombic. The value obtained for the volume is 26.9 Å³/f.u. As for the formation energy: -0.14 eV/atom. The spin magnetization is 0.05 Bohr magnetons per cell.

Unit cell a=3.6298 b=10.9157 c=2.7115 alpha=90.00 beta=90.00 gamma=90.00
Space group Cmmm (No. 65)
Inequivalent atoms, fractional coordinates:
Be 0.0000 0.0000 0.0000
Be 0.0000 0.1632 0.5000
Be 0.0000 0.5000 0.5000
Cu 0.0000 0.3363 0.0000



5.
Below is a PBEsol-optimized structure of Be3Cu, with properties calculated at the meta-GGA SCAN level.

Output
Its crystal system is orthorhombic. The value obtained for the volume is 35.2 Å³/f.u. As for the formation energy: -0.09 eV/atom. The spin magnetization is 0.01 Bohr magnetons per cell.

Unit cell a=2.4319 b=3.6951 c=3.9182 alpha=90.00 beta=90.00 gamma=90.00
Space group Pmm2 (No. 25)
Inequivalent atoms, fractional coordinates:
Be 0.0000 0.0000 0.0000
Be 0.0000 0.5000 0.3561
Be 0.5000 0.0000 0.4884
Cu 0.5000 0.5000 0.8529



6.
Below is a PBEsol-optimized structure of Be2CuF, with properties calculated at the meta-GGA SCAN level.

Output
Its crystal system is cubic. The value obtained for the volume is 41.8 Å³/f.u. The uncorrected formation energy comes out at 196 meV per atom. The spin magnetization is 0.00 Bohr magnetons per cell.

Unit cell a=5.5094 b=5.5094 c=5.5094 alpha=90.00 beta=90.00 gamma=90.00
Space group Fm-3m (No. 225)
Inequivalent atoms, fractional coordinates:
Be 0.2500 0.2500 0.2500
Cu 0.0000 0.0000 0.0000
F 0.0000 0.0000 0.5000



> What is the formula in the fifth record?

Be3Cu



> Among the records above, which one has the highest volume?

Be3Cu5